# LaTbPmSm3, relaxed, DFT PBE-GGA
data_LaTbPmSm3
_symmetry_space_group_name_H-M 'P 1'
_symmetry_Int_Tables_number 1
_cell_length_a 5.7829
_cell_length_b 10.6142
_cell_length_c 6.9863
_cell_angle_alpha 90.72
_cell_angle_beta 90.00
_cell_angle_gamma 105.81
loop_
_symmetry_equiv_pos_as_xyz
'x,y,z'
loop_
_atom_site_label
_atom_site_type_symbol
_atom_site_fract_x
_atom_site_fract_y
_atom_site_fract_z
Tb1 Tb 0.3534 0.7068 0.5317
Tb2 Tb 0.6466 0.2932 0.4683
Pm1 Pm 0.0549 0.1098 0.2623
Pm2 Pm 0.9451 0.8902 0.7377
Sm1 Sm 0.7803 0.5606 0.7498
Sm2 Sm 0.4797 0.9595 0.2554
Sm3 Sm 0.5203 0.0405 0.7446
Sm4 Sm 0.2197 0.4394 0.2502
Sm5 Sm 0.8376 0.6752 0.2640
Sm6 Sm 0.1624 0.3248 0.7360
La1 La 0.3543 0.7085 0.9723
La2 La 0.6457 0.2915 0.0277
# DFT formation energy (eV per atom): 0.173
# Space-group type: C2/m, No. 12
# Calculated volume (Å³/cell): 412.57
# Final energy (eV per atom): -4.57

***

# LaTbPm2Sm2, relaxed, DFT PBE-GGA
data_LaTbPm2Sm2
_symmetry_space_group_name_H-M 'P 1'
_symmetry_Int_Tables_number 1
_cell_length_a 3.4406
_cell_length_b 6.7216
_cell_length_c 18.0614
_cell_angle_alpha 90.00
_cell_angle_beta 90.00
_cell_angle_gamma 90.00
loop_
_symmetry_equiv_pos_as_xyz
'x,y,z'
loop_
_atom_site_label
_atom_site_type_symbol
_atom_site_fract_x
_atom_site_fract_y
_atom_site_fract_z
Sm1 Sm 0.0000 0.7742 0.1827
Sm2 Sm 0.5000 0.7258 0.6827
Sm3 Sm 0.5000 0.2742 0.3173
Sm4 Sm 0.0000 0.2258 0.8173
La1 La 0.5000 0.5000 0.5000
La2 La 0.0000 0.0000 0.0000
Pm1 Pm 0.0000 0.7205 0.8502
Pm2 Pm 0.5000 0.7795 0.3502
Pm3 Pm 0.0000 0.2795 0.1498
Pm4 Pm 0.5000 0.2205 0.6498
Tb1 Tb 0.0000 0.0000 0.5000
Tb2 Tb 0.5000 0.5000 0.0000
# DFT formation energy (eV per atom): 0.247
# Space-group type: Pnnm, No. 58
# Calculated volume (Å³/cell): 417.69
# Final energy (eV per atom): -4.50

***

# LaTb2Pm2Sm, relaxed, DFT PBE-GGA
data_LaTb2Pm2Sm
_symmetry_space_group_name_H-M 'P 1'
_symmetry_Int_Tables_number 1
_cell_length_a 3.4277
_cell_length_b 6.6553
_cell_length_c 18.2443
_cell_angle_alpha 90.00
_cell_angle_beta 90.00
_cell_angle_gamma 90.00
loop_
_symmetry_equiv_pos_as_xyz
'x,y,z'
loop_
_atom_site_label
_atom_site_type_symbol
_atom_site_fract_x
_atom_site_fract_y
_atom_site_fract_z
Pm1 Pm 0.5000 0.2804 0.3130
Pm2 Pm 0.5000 0.7196 0.6870
Pm3 Pm 0.0000 0.7804 0.1870
Pm4 Pm 0.0000 0.2196 0.8130
La1 La 0.5000 0.5000 0.5000
La2 La 0.0000 0.0000 0.0000
Tb1 Tb 0.0000 0.2834 0.1481
Tb2 Tb 0.5000 0.2166 0.6481
Tb3 Tb 0.5000 0.7834 0.3519
Tb4 Tb 0.0000 0.7166 0.8519
Sm1 Sm 0.5000 0.5000 0.0000
Sm2 Sm 0.0000 0.0000 0.5000
# DFT formation energy (eV per atom): 0.255
# Space-group type: Pnnm, No. 58
# Calculated volume (Å³/cell): 416.19
# Final energy (eV per atom): -4.48